Computed, not measured: Li2AsIrRh after structural relaxation at the PBE level of DFT.

Cell lengths 4.4279, 4.4279, 4.5081 Å; angles 90.00, 90.00, 90.00 degrees
Closest atoms and distances in Å follow each position.
Space group P4/mmm (No. 123)
Unique sites:
Li: 0.0000 0.5000 0.0000 [2 per cell]  2 As 2.21
As: 0.0000 0.0000 0.0000 [1 per cell]  4 Li 2.21, 2 Ir 2.25
Ir: 0.0000 0.0000 0.5000 [1 per cell]  2 As 2.25
Rh: 0.5000 0.5000 0.5000 [1 per cell]  4 Ir 3.13, 8 Li 3.16

Properties
E_form   456 meV per atom
Calculated density   7.2 g/cm3
Total magnetic moment   0.9 μB per cell
Crystal system   tetragonal
Volume   88 Å³/f.u.
DOS at the Fermi energy   0.902 states/eV per atom

Computed, not measured: LiAsIrRu after structural relaxation at the PBE level of DFT.

Cell lengths 5.9226, 5.9226, 5.9226 Å; angles 90.00, 90.00, 90.00 degrees
Closest atoms and distances in Å follow each position.
Space group F-43m (No. 216)
Unique sites:
Li: 0.0000 0.0000 0.0000 [4 per cell]  4 Ir 2.56, 4 Ru 2.56
As: 0.0000 0.0000 0.5000 [4 per cell]  4 Ru 2.56, 4 Ir 2.56
Ir: 0.2500 0.2500 0.2500 [4 per cell]  4 As 2.56, 4 Li 2.56
Ru: 0.2500 0.2500 0.7500 [4 per cell]  4 As 2.56, 4 Li 2.56

Properties
E_form   -260 meV per atom
Calculated density   12.0 g/cm3
Total magnetic moment   0.0 μB per cell
Crystal system   cubic
Volume   52 Å³/f.u.
DOS at the Fermi energy   0.394 states/eV per atom

Computed, not measured: Li2As2IrRu after structural relaxation at the PBE level of DFT.

Cell lengths 5.7598, 12.0526, 5.7561 Å; angles 90.00, 90.00, 90.00 degrees
Closest atoms and distances in Å follow each position.
Space group Ibam (No. 72)
Unique sites:
Li: 0.2442 0.1624 0.0000 [8 per cell]  5 As 2.66-2.95, 2 Ir 2.81, 2 Ru 2.84
As: 0.2412 0.3830 0.0000 [8 per cell]  2 Ru 2.45, 2 Ir 2.51, 1 Li 2.66
Ir: 0.0000 0.0000 0.2500 [4 per cell]  4 As 2.51
Ru: 0.0000 0.5000 0.2500 [4 per cell]  4 As 2.45

Properties
E_form   -543 meV per atom
Calculated density   7.6 g/cm3
Total magnetic moment   0.0 μB per cell
Crystal system   orthorhombic
Volume   100 Å³/f.u.
DOS at the Fermi energy   0.192 states/eV per atom

Computed, not measured: LiAsIrSe2 after structural relaxation at the PBE level of DFT.

Cell lengths 5.2093, 5.2093, 4.5827 Å; angles 90.00, 90.00, 90.00 degrees
Closest atoms and distances in Å follow each position.
Space group P4/mmm (No. 123)
Unique sites:
Li: 0.0000 0.0000 0.0000 [1 per cell]  8 Se 3.47, 4 As 3.68
As: 0.5000 0.5000 0.0000 [1 per cell]  2 Ir 2.29
Ir: 0.5000 0.5000 0.5000 [1 per cell]  2 As 2.29
Se: 0.0000 0.5000 0.5000 [2 per cell]  2 Ir 2.60

Properties
Calculated density   5.8 g/cm3
Total magnetic moment   0.0 μB per cell
Crystal system   tetragonal
Volume   124 Å³/f.u.
DOS at the Fermi energy   1.168 states/eV per atom
Formation energy without anion corrections   192.8 meV per atom

> What is the calculated density in the second record?

12.0 g/cm3

> calculated density of number 4 (LiAsIrSe2)?

5.8 g/cm3

Please write out number 4 again, unchanged.
Computed, not measured: LiAsIrSe2 after structural relaxation at the PBE level of DFT.

Cell lengths 5.2093, 5.2093, 4.5827 Å; angles 90.00, 90.00, 90.00 degrees
Closest atoms and distances in Å follow each position.
Space group P4/mmm (No. 123)
Unique sites:
Li: 0.0000 0.0000 0.0000 [1 per cell]  8 Se 3.47, 4 As 3.68
As: 0.5000 0.5000 0.0000 [1 per cell]  2 Ir 2.29
Ir: 0.5000 0.5000 0.5000 [1 per cell]  2 As 2.29
Se: 0.0000 0.5000 0.5000 [2 per cell]  2 Ir 2.60

Properties
Calculated density   5.8 g/cm3
Total magnetic moment   0.0 μB per cell
Crystal system   tetragonal
Volume   124 Å³/f.u.
DOS at the Fermi energy   1.168 states/eV per atom
Formation energy without anion corrections   192.8 meV per atom